9
Lattice="4.2105 0.0000 0.0000 0.0000 6.0600 3.4742 0.0000 -6.0600 3.4742" Properties=species:S:1:pos:R:3 comment="DyTm2Ga3Ge2Pd, relaxed, DFT PBE-GGA" rho_g_cm3=9.003 energy_ev_per_atom=-4.89 magnetic_moment_mub_per_cell=0.002 pbc="T T T"
Dy 0.0000 0.0000 4.0789
Ga 2.1052 4.6200 2.6497
Ga 2.1052 0.0000 1.6551
Ga 2.1052 -4.6200 2.6497
Ge 2.1052 2.0402 3.4684
Ge 2.1052 -2.0402 3.4684
Pd 0.0000 0.0000 0.0292
Tm 0.0000 3.5630 4.8969
Tm 0.0000 -3.5630 4.8969